No. 1
Compound: PmMgRh
Source: the Alexandria database
Functional: PBE
Structure: optimized geometry

a = 6.3404 Å, b = 6.3404 Å, c = 6.3404 Å
α = 149.22°, β = 149.22°, γ = 44.09°
Last column: nearest neighbours and their distance in Å.
Fractional positions:
Pm  0.0000  0.0000  0.0000  4 Rh 2.95, 1 Mg 3.20
Mg  0.7276  0.7276  0.0000  4 Rh 2.79
Rh  0.3517  0.3517  0.0000  4 Mg 2.79, 4 Pm 2.95

The calculation puts the energy above the most stable polymorph in this dataset at 0.534 eV/f.u. The calculation puts the volume at 22.2 Å³/atom. As for the size of the total moment: 0.000 μB/cell. The calculation puts the formation enthalpy at 0 K at -0.440 eV/atom. The value obtained for the total energy is -15.017 eV for the cell shown. Its space group is I4mm, No. 107. As for the crystal system: tetragonal.

***

No. 2
Compound: CaLaZn2
Source: the Alexandria database
Functional: PBE
Structure: optimized geometry

a = 6.2749 Å, b = 6.2749 Å, c = 6.2749 Å
α = 146.77°, β = 130.91°, γ = 60.57°
Last column: nearest neighbours and their distance in Å.
Fractional positions:
Ca  0.0000  0.0000  0.0000  8 Zn 3.22-3.59, 2 La 3.41, 2 Ca 3.59
La  0.2975  0.7975  0.5000  6 Zn 3.25-3.30, 2 Ca 3.41, 2 La 3.59
Zn  0.5530  0.5530  0.0000  2 Zn 2.61
Zn  0.7282  0.2282  0.5000  2 Zn 2.61

The calculation puts the energy above the most stable polymorph in this dataset at 0.489 eV/f.u. The calculation puts the volume at 25.3 Å³/atom. As for the size of the total moment: 0.002 μB/cell. The calculation puts the formation enthalpy at 0 K at -0.187 eV/atom. The value obtained for the total energy is -10.226 eV for the cell shown. Its space group is Imm2, No. 44. As for the crystal system: orthorhombic.

***

No. 3
Compound: Be2Mo2Pd
Source: the Alexandria database
Functional: PBE
Structure: optimized geometry

a = 5.9463 Å, b = 5.9463 Å, c = 3.5223 Å
α = 90.00°, β = 90.00°, γ = 90.00°
Last column: nearest neighbours and their distance in Å.
Fractional positions:
Be  0.1288  0.3712  0.0000  1 Be 2.17, 2 Pd 2.34
Be  0.3712  0.8712  0.0000  1 Be 2.17, 2 Pd 2.34
Be  0.6288  0.1288  0.0000  1 Be 2.17, 2 Pd 2.34
Be  0.8712  0.6288  0.0000  1 Be 2.17, 2 Pd 2.34
Mo  0.1646  0.6646  0.5000  6 Be 2.47-2.49, 1 Mo 2.77
Mo  0.3354  0.1646  0.5000  6 Be 2.47-2.49, 1 Mo 2.77
Mo  0.6646  0.8354  0.5000  6 Be 2.47-2.49, 1 Mo 2.77
Mo  0.8354  0.3354  0.5000  6 Be 2.47-2.49, 1 Mo 2.77
Pd  0.0000  0.0000  0.0000  4 Be 2.34
Pd  0.5000  0.5000  0.0000  4 Be 2.34

The calculation puts the volume at 12.5 Å³/atom. As for the size of the total moment: 0.000 μB/cell. The calculation puts the formation enthalpy at 0 K at -0.107 eV/atom. The value obtained for the total energy is -69.688 eV for the cell shown. Its space group is P4/mbm, No. 127. As for the crystal system: tetragonal.

***

No. 4
Compound: LiPa3Te4
Source: the Alexandria database
Functional: PBE
Structure: optimized geometry

a = 7.4788 Å, b = 7.4766 Å, c = 6.1176 Å
α = 65.87°, β = 65.84°, γ = 48.29°
Last column: nearest neighbours and their distance in Å.
Fractional positions:
Li  0.0000  0.0000  0.0000  6 Te 2.93-3.06
Pa  0.2500  0.2500  0.2500  6 Te 3.05-3.06
Pa  0.5000  0.5000  0.5000  6 Te 3.06-3.17
Pa  0.7500  0.7500  0.7500  6 Te 3.05-3.06
Te  0.0000  0.0000  0.5000  4 Pa 3.05-3.06, 2 Li 3.06
Te  0.2402  0.2402  0.7598  1 Li 2.93, 5 Pa 3.06-3.17
Te  0.5000  0.5000  0.0000  4 Pa 3.05-3.06, 2 Li 3.06
Te  0.7598  0.7598  0.2402  1 Li 2.93, 5 Pa 3.06-3.17

The calculation puts the volume at 28.5 Å³/atom. As for the size of the total moment: 2.249 μB/cell. The value obtained for the total energy is -48.571 eV for the cell shown. Its space group is Fmmm, No. 69. As for the crystal system: orthorhombic.